Crystalline BOs2OF at its relaxed geometry, computed with PBE-GGA.

raw total energy = -6.00 eV/atom
mass density = 11625 kg/m³
formation energy from raw total energies = 1191 meV per atom
magnetic moment = 0.0 μB/cell

a = 4.0756 Å, b = 3.6657 Å, c = 4.0756 Å
α = 90.00°, β = 90.00°, γ = 90.00°
Sites, in units of the cell vectors:
B  0.0000  0.0000  0.0000
Os  0.0000  0.0000  0.5000
Os  0.5000  0.0000  0.0000
O  0.5000  0.5000  0.5000
F  0.0000  0.5000  0.0000